(1)
Here is a relaxed structure of ZrReRh2 from the Alexandria database. Energies are from GGA-PBEsol.

The structure belongs to space group C2/m (No. 12); the cell edges are 9.1730, 2.8138 and 4.8421 Å and the angles 90.00°, 100.12° and 90.00°. The asymmetric unit holds Zr at (0.0000, 0.0000, 0.0000), Re at (0.0000, 0.5000, 0.5000) and Rh at (0.2447, 0.0000, 0.7298).

As for the distance to the lowest polymorph of the same formula: 0.168 eV/atom. The formation energy is -0.165 eV per atom. Its total magnetic moment is 0.0 μB per cell. The calculation puts the total energy at -9.839 eV/atom.

***

(2)
Here is a relaxed structure of NbAs2W from the Alexandria database. Energies are from GGA-PBEsol.

The structure belongs to space group I-42d (No. 122); the cell edges are 3.9267, 3.9267 and 18.0854 Å and the angles 90.00°, 90.00° and 90.00°. The asymmetric unit holds Nb at (0.0000, 0.0000, 0.0000), As at (0.2418, 0.2500, 0.6250) and W at (0.0000, 0.0000, 0.5000).

The formation energy is 0.355 eV per atom. Its total magnetic moment is 0.0 μB per cell. The calculation puts the total energy at -8.356 eV/atom.